Record 1
A relaxed structure of MnCo2Cl. Source: the Alexandria database, functional PBE.

Calculated values
Total DFT energy (no corrections): -5.8216 eV per atom
M_tot: 1.69 μB/atom
Density of states at the Fermi level: 4.54 states/eV/f.u.
Calculated density: 6.65 g/cm3
Polymorph energy (0 for the lowest one): 355.6 meV per atom

a b c (Å): 5.041 5.041 5.041
angles (deg): 147.79 129.80 60.91
Positions (direct):
Mn (0.000, 0.000, 0.000)
Co (0.265, 0.765, 0.500)
Co (0.735, 0.235, 0.500)
Cl (0.500, 0.500, 0.000)



Record 2
A relaxed structure of MnCoCl2. Source: the Alexandria database, functional PBE.

Calculated values
Total DFT energy (no corrections): -4.8615 eV per atom
M_tot: 1.52 μB/atom
Density of states at the Fermi level: 1.88 states/eV/f.u.
Calculated density: 4.57 g/cm3
Polymorph energy (0 for the lowest one): 432.0 meV per atom

a b c (Å): 7.549 7.549 7.549
angles (deg): 24.92 24.92 24.92
Positions (direct):
Mn (0.000, 0.000, 0.000)
Co (0.500, 0.500, 0.500)
Cl (0.241, 0.241, 0.241)
Cl (0.759, 0.759, 0.759)



Record 3
A relaxed structure of MnCoCl2. Source: the Alexandria database, functional PBE.

Calculated values
Total DFT energy (no corrections): -5.1277 eV per atom
M_tot: 1.50 μB/atom
Density of states at the Fermi level: 1.05 states/eV/f.u.
Calculated density: 3.73 g/cm3
Polymorph energy (0 for the lowest one): 165.8 meV per atom

a b c (Å): 7.734 7.734 7.734
angles (deg): 156.69 153.29 35.74
Positions (direct):
Mn (0.000, 0.000, 0.000)
Co (0.134, 0.634, 0.500)
Cl (0.424, 0.424, 0.000)
Cl (0.669, 0.169, 0.500)



Record 4
A relaxed structure of MnCo2Cl. Source: the Alexandria database, functional PBE.

Calculated values
Total DFT energy (no corrections): -5.9461 eV per atom
M_tot: 1.37 μB/atom
Density of states at the Fermi level: 5.29 states/eV/f.u.
Calculated density: 6.62 g/cm3
Polymorph energy (0 for the lowest one): 231.2 meV per atom

a b c (Å): 2.926 2.926 6.098
angles (deg): 90.00 90.00 90.00
Positions (direct):
Mn (0.000, 0.000, 0.000)
Co (0.500, 0.500, 0.219)
Co (0.500, 0.500, 0.781)
Cl (0.000, 0.000, 0.500)



Record 5
A relaxed structure of MnCo2Cl. Source: the Alexandria database, functional PBE.

Calculated values
Total DFT energy (no corrections): -5.5946 eV per atom
M_tot: 1.73 μB/atom
Density of states at the Fermi level: 1.98 states/eV/f.u.
Calculated density: 6.54 g/cm3
Polymorph energy (0 for the lowest one): 582.7 meV per atom

a b c (Å): 4.213 4.213 4.213
angles (deg): 60.00 60.00 60.00
Positions (direct):
Mn (0.000, 0.000, 0.000)
Co (0.250, 0.250, 0.250)
Co (0.750, 0.750, 0.750)
Cl (0.500, 0.500, 0.500)



Record 6
A relaxed structure of MnCoCl6. Source: the Alexandria database, functional PBE.

Calculated values
Total DFT energy (no corrections): -4.0738 eV per atom
M_tot: 0.75 μB/atom
Density of states at the Fermi level: 4.06 states/eV/f.u.
Calculated density: 2.72 g/cm3
Polymorph energy (0 for the lowest one): 0.0 meV per atom

a b c (Å): 6.828 6.828 5.827
angles (deg): 97.52 97.52 129.47
Positions (direct):
Mn (0.000, 0.000, 0.000)
Co (0.500, 0.500, 0.500)
Cl (0.108, 0.368, 0.239)
Cl (0.246, 0.246, 0.755)
Cl (0.368, 0.108, 0.239)
Cl (0.632, 0.892, 0.761)
Cl (0.754, 0.754, 0.245)
Cl (0.892, 0.632, 0.761)



Record 7
A relaxed structure of MnCoCl2. Source: the Alexandria database, functional PBE.

Calculated values
Total DFT energy (no corrections): -5.1222 eV per atom
M_tot: 1.49 μB/atom
Density of states at the Fermi level: 3.60 states/eV/f.u.
Calculated density: 3.89 g/cm3
Polymorph energy (0 for the lowest one): 171.3 meV per atom

a b c (Å): 3.180 3.180 8.322
angles (deg): 90.00 90.00 110.51
Positions (direct):
Mn (0.000, 0.000, 0.000)
Co (0.500, 0.500, 0.217)
Cl (0.000, 0.000, 0.374)
Cl (0.500, 0.500, 0.812)



Record 8
A relaxed structure of Na2MnCoCl6. Source: the Alexandria database, functional PBE.

Calculated values
Total DFT energy (no corrections): -4.1544 eV per atom
M_tot: 0.79 μB/atom
Density of states at the Fermi level: 1.69 states/eV/f.u.
Calculated density: 2.76 g/cm3

a b c (Å): 6.928 6.928 6.928
angles (deg): 57.97 57.97 57.97
Positions (direct):
Na (0.000, 0.000, 0.000)
Na (0.499, 0.499, 0.499)
Mn (0.211, 0.211, 0.211)
Co (0.710, 0.710, 0.710)
Cl (0.058, 0.452, 0.844)
Cl (0.352, 0.941, 0.567)
Cl (0.452, 0.844, 0.058)
Cl (0.567, 0.352, 0.941)
Cl (0.844, 0.058, 0.452)
Cl (0.941, 0.567, 0.352)